1.
Computed, not measured: a relaxed structure of Pu4Cl3F8 at the PBE-GGA level of DFT.

Properties
E_form (uncorrected)   -3.020 eV per atom
Calculated total energy   -8.21 eV per atom

Cell lengths 8.6682, 8.6682, 8.6682 Å; angles 60.00, 60.00, 60.00 degrees
Sites, in units of the cell vectors:
Cl 0.7177 0.2823 0.7177
Cl 0.2823 0.2823 0.7177
Cl 0.2823 0.7177 0.7177
Cl 0.2823 0.7177 0.2823
Cl 0.7177 0.2823 0.2823
Cl 0.7177 0.7177 0.2823
F 0.1184 0.1184 0.1184
F 0.6448 0.1184 0.1184
F 0.3552 0.8816 0.8816
F 0.8816 0.8816 0.8816
F 0.3342 0.9975 0.3342
F 0.3342 0.3342 0.9975
F 0.1184 0.1184 0.6448
F 0.8816 0.3552 0.8816
F 0.0025 0.6658 0.6658
F 0.6658 0.0025 0.6658
F 0.9975 0.3342 0.3342
F 0.3342 0.3342 0.3342
F 0.6658 0.6658 0.6658
F 0.8816 0.8816 0.3552
F 0.6658 0.6658 0.0025
F 0.1184 0.6448 0.1184
Pu 0.5000 0.5000 0.0000
Pu 0.0000 0.5000 0.0000
Pu 0.0000 0.5000 0.5000
Pu 0.0000 0.0000 0.0000
Pu 0.5000 0.0000 0.0000
Pu 0.5000 0.0000 0.5000
Pu 0.0000 0.0000 0.5000
Pu 0.5000 0.5000 0.5000



2.
Computed, not measured: a relaxed structure of PuCl2F at the PBE-GGA level of DFT.

Properties
E_form (uncorrected)   -2.447 eV per atom
Distance to the lowest polymorph of the same formula   0.0073 eV/atom
Calculated total energy   -7.42 eV per atom

Cell lengths 4.0932, 4.0932, 7.3540 Å; angles 74.40, 74.40, 59.99 degrees
Sites, in units of the cell vectors:
Cl 0.2065 0.2065 0.3717
Cl 0.0434 0.0434 0.8784
Pu 0.4578 0.4578 0.6266
F 0.7922 0.7922 0.6233



Which formula does entry 2 have?
PuCl2F



Copy entry 1 word for word.
Computed, not measured: a relaxed structure of Pu4Cl3F8 at the PBE-GGA level of DFT.

Properties
E_form (uncorrected)   -3.020 eV per atom
Calculated total energy   -8.21 eV per atom

Cell lengths 8.6682, 8.6682, 8.6682 Å; angles 60.00, 60.00, 60.00 degrees
Sites, in units of the cell vectors:
Cl 0.7177 0.2823 0.7177
Cl 0.2823 0.2823 0.7177
Cl 0.2823 0.7177 0.7177
Cl 0.2823 0.7177 0.2823
Cl 0.7177 0.2823 0.2823
Cl 0.7177 0.7177 0.2823
F 0.1184 0.1184 0.1184
F 0.6448 0.1184 0.1184
F 0.3552 0.8816 0.8816
F 0.8816 0.8816 0.8816
F 0.3342 0.9975 0.3342
F 0.3342 0.3342 0.9975
F 0.1184 0.1184 0.6448
F 0.8816 0.3552 0.8816
F 0.0025 0.6658 0.6658
F 0.6658 0.0025 0.6658
F 0.9975 0.3342 0.3342
F 0.3342 0.3342 0.3342
F 0.6658 0.6658 0.6658
F 0.8816 0.8816 0.3552
F 0.6658 0.6658 0.0025
F 0.1184 0.6448 0.1184
Pu 0.5000 0.5000 0.0000
Pu 0.0000 0.5000 0.0000
Pu 0.0000 0.5000 0.5000
Pu 0.0000 0.0000 0.0000
Pu 0.5000 0.0000 0.0000
Pu 0.5000 0.0000 0.5000
Pu 0.0000 0.0000 0.5000
Pu 0.5000 0.5000 0.5000